Below is an optimized crystal structure of Na2LaDyTe4, with properties calculated at the PBE level.

## Properties
Formation energy (no corrections): -1.356 eV per atom
Calculated volume: 33.6 Å³ per atom
Crystal system: monoclinic
Uncorrected energy: -4.448 eV per atom

Unit cell a=4.5358 b=7.8598 c=7.9910 alpha=109.14 beta=90.00 gamma=90.00
With the nearest neighbours (Å) after each atom.
Element x y z (fractional)
Te: 0.5000 0.7430 0.7610  1 Dy 3.11, 2 La 3.22, 3 Na 3.25-3.35
Na: 0.0000 0.5000 0.5000  6 Te 3.24-3.25
Na: 0.5000 0.0000 0.5000  6 Te 3.33-3.35
Te: 0.0000 0.7351 0.2338  2 Dy 3.13, 1 La 3.22, 3 Na 3.24-3.33
Te: 0.5000 0.2570 0.2390  1 Dy 3.11, 2 La 3.22, 3 Na 3.25-3.35
Dy: 0.5000 0.5000 0.0000  6 Te 3.11-3.13
Te: 0.0000 0.2649 0.7662  2 Dy 3.13, 1 La 3.22, 3 Na 3.24-3.33
La: 0.0000 0.0000 0.0000  6 Te 3.22